(1)
Compound: Nd2ErZn3
Source: the Alexandria database
Functional: PBE
Structure: optimized geometry

Computed properties:
energy relative to the elements: -0.314 eV per atom
magnetic moment: 0.00 μB/f.u.
space-group type: No. 123
Fermi-level density of states: 1.171 states/eV/atom
theoretical density: 7.51 g cm⁻³

Cell: 3.620 3.620 10.998 Å, 90.00 90.00 90.00°
Element x y z (fractional)
Zn (0.000, 0.000, 0.000)
Zn (0.000, 0.000, 0.348)
Zn (0.000, 0.000, 0.652)
Er (0.500, 0.500, 0.500)
Nd (0.500, 0.500, 0.828)
Nd (0.500, 0.500, 0.172)

(2)
Compound: NdEr2Zn4
Source: the Alexandria database
Functional: PBE
Structure: optimized geometry

Computed properties:
energy relative to the elements: -0.132 eV per atom
magnetic moment: 0.00 μB/f.u.
space-group type: No. 139
Fermi-level density of states: 0.675 states/eV/atom
theoretical density: 7.29 g cm⁻³

Cell: 5.161 5.161 7.307 Å, 110.68 110.68 90.00°
Element x y z (fractional)
Zn (0.384, 0.884, 0.767)
Zn (0.884, 0.384, 0.767)
Zn (0.616, 0.116, 0.233)
Zn (0.116, 0.616, 0.233)
Er (0.273, 0.273, 0.547)
Er (0.727, 0.727, 0.453)
Nd (0.000, 0.000, 0.000)

(3)
Compound: Nd2Er3Zn2
Source: the Alexandria database
Functional: PBE
Structure: optimized geometry

Computed properties:
energy relative to the elements: -0.132 eV per atom
magnetic moment: 0.02 μB/f.u.
space-group type: No. 65
Fermi-level density of states: 1.130 states/eV/atom
energy above the most stable polymorph in this dataset: 0.0 meV/atom
theoretical density: 7.88 g cm⁻³

Cell: 3.620 3.523 15.316 Å, 90.00 96.79 90.00°
Element x y z (fractional)
Zn (0.136, 0.000, 0.271)
Zn (0.864, 0.000, 0.729)
Nd (0.301, 0.500, 0.603)
Nd (0.699, 0.500, 0.397)
Er (0.000, 0.000, 0.000)
Er (0.419, 0.500, 0.838)
Er (0.581, 0.500, 0.162)

Question: The highest magnetic moment belongs to which entry?
Answer: Nd2Er3Zn2